VASP calculation (PBE) on crystalline Be2ReF at its relaxed geometry.

Geometry as CIF:
```
data_Be2ReF
_chemical_formula_sum 'Be8 Re4 F4'
_symmetry_space_group_name_H-M 'C 1 m 1'
_symmetry_Int_Tables_number 8
_symmetry_space_group_name_Hall 'C -2y'
_cell_length_a 18.7440
_cell_length_b 3.0320
_cell_length_c 3.1118
_cell_angle_alpha 90.00
_cell_angle_beta 98.08
_cell_angle_gamma 90.00
loop_
_atom_site_label
_atom_site_type_symbol
_atom_site_fract_x
_atom_site_fract_y
_atom_site_fract_z
_atom_site_occupancy
Be1 Be 0.0000 0.0000 0.0000 1
Be2 Be 0.0663 0.5000 0.5586 1
Be3 Be 0.2648 0.0000 0.2134 1
Be4 Be 0.3371 0.5000 0.6634 1
Re1 Re 0.1190 0.0000 0.1035 1
Re2 Re 0.2058 0.5000 0.6770 1
F1 F 0.3553 0.0000 0.4228 1
F2 F 0.4200 0.5000 0.9405 1
```

Output
Formation energy without anion corrections, kJ/mol of atoms: -93.8
Electronic total energy, eV/atom: -6.415
Energy relative to the lowest polymorph listed for this composition, meV per atom: 28.9
Crystal system: monoclinic